# 1
# PBE-GGA ZrZnCr2, relaxed
data_ZrZnCr2
_chemical_formula_sum 'Zr2 Zn2 Cr4'
_space_group_name_H-M_alt 'C 1 2/m 1'
_space_group_IT_number 12
_cell_length_a 9.105
_cell_length_b 3.178
_cell_length_c 4.628
_cell_angle_alpha 90.00
_cell_angle_beta 109.98
_cell_angle_gamma 90.00
loop_
_space_group_symop_operation_xyz
'x,y,z'
'-x,-y,-z'
'-x,y,-z'
'x,-y,z'
'x+1/2,y+1/2,z'
'-x+1/2,-y+1/2,-z'
'-x+1/2,y+1/2,-z'
'x+1/2,-y+1/2,z'
loop_
_atom_site_label
_atom_site_type_symbol
_atom_site_fract_x
_atom_site_fract_y
_atom_site_fract_z
Zr1 Zr 0.000 0.000 0.000
Zn1 Zn 0.000 0.500 0.500
Cr1 Cr 0.243 0.000 0.669
# Energy of formation from the pure elements (meV per atom): 271
# Crystal system: monoclinic
# Uncorrected energy (eV per cell): -55.97
# N(E_F) (states/eV per atom): 1.109


# 2
# PBE-GGA Li8Cu2Sn, relaxed
data_Li8Cu2Sn
_chemical_formula_sum 'Li16 Cu4 Sn2'
_space_group_name_H-M_alt 'C 1 2/m 1'
_space_group_IT_number 12
_cell_length_a 7.645
_cell_length_b 11.367
_cell_length_c 4.708
_cell_angle_alpha 90.00
_cell_angle_beta 105.92
_cell_angle_gamma 90.00
loop_
_space_group_symop_operation_xyz
'x,y,z'
'-x,-y,-z'
'-x,y,-z'
'x,-y,z'
'x+1/2,y+1/2,z'
'-x+1/2,-y+1/2,-z'
'-x+1/2,y+1/2,-z'
'x+1/2,-y+1/2,z'
loop_
_atom_site_label
_atom_site_type_symbol
_atom_site_fract_x
_atom_site_fract_y
_atom_site_fract_z
Li1 Li 0.000 0.242 0.000
Li2 Li 0.127 0.500 0.835
Li3 Li 0.184 0.121 0.580
Cu1 Cu 0.000 0.327 0.500
Sn1 Sn 0.000 0.000 0.000
# Energy of formation from the pure elements (meV per atom): -59
# Crystal system: monoclinic
# Uncorrected energy (eV per cell): -56.31
# N(E_F) (states/eV per atom): 0.361


# 3
# PBE-GGA YHo4Te5, relaxed
data_YHo4Te5
_chemical_formula_sum 'Y2 Ho8 Te10'
_space_group_name_H-M_alt 'C 1 2/m 1'
_space_group_IT_number 12
_cell_length_a 14.423
_cell_length_b 4.347
_cell_length_c 10.609
_cell_angle_alpha 90.00
_cell_angle_beta 119.49
_cell_angle_gamma 90.00
loop_
_space_group_symop_operation_xyz
'x,y,z'
'-x,-y,-z'
'-x,y,-z'
'x,-y,z'
'x+1/2,y+1/2,z'
'-x+1/2,-y+1/2,-z'
'-x+1/2,y+1/2,-z'
'x+1/2,-y+1/2,z'
loop_
_atom_site_label
_atom_site_type_symbol
_atom_site_fract_x
_atom_site_fract_y
_atom_site_fract_z
Y1 Y 0.000 0.000 0.000
Ho1 Ho 0.099 0.500 0.399
Ho2 Ho 0.201 0.000 0.800
Te1 Te 0.000 0.000 0.500
Te2 Te 0.101 0.500 0.899
Te3 Te 0.201 0.000 0.302
# E_form (uncorrected) (eV per atom): -1.2583
# Crystal system: monoclinic
# Uncorrected energy (eV per cell): -106.13
# N(E_F) (states/eV per atom): 0.520


# 4
# PBE-GGA NdPdF, relaxed
data_NdPdF
_chemical_formula_sum 'Nd2 Pd2 F2'
_space_group_name_H-M_alt 'P 1 21/m 1'
_space_group_IT_number 11
_cell_length_a 3.750
_cell_length_b 4.191
_cell_length_c 7.441
_cell_angle_alpha 90.00
_cell_angle_beta 104.64
_cell_angle_gamma 90.00
loop_
_space_group_symop_operation_xyz
'x,y,z'
'-x,-y,-z'
'-x,y+1/2,-z'
'x,-y+1/2,z'
loop_
_atom_site_label
_atom_site_type_symbol
_atom_site_fract_x
_atom_site_fract_y
_atom_site_fract_z
Nd1 Nd 0.137 0.250 0.275
Pd1 Pd 0.446 0.250 0.891
F1 F 0.250 0.750 0.500
# E_form (uncorrected) (eV per atom): -2.1103
# Crystal system: monoclinic
# Uncorrected energy (eV per cell): -36.33
# N(E_F) (states/eV per atom): 0.404


# 5
# PBE-GGA NaDyHo4S8, relaxed
data_NaDyHo4S8
_chemical_formula_sum 'Na3 Dy3 Ho12 S24'
_space_group_name_H-M_alt 'R 3 m'
_space_group_IT_number 160
_space_group_name_Hall 'R 3 -2"'
_cell_length_a 8.0631
_cell_length_b 8.0631
_cell_length_c 19.7942
_cell_angle_alpha 90.00
_cell_angle_beta 90.00
_cell_angle_gamma 120.00
loop_
_atom_site_label
_atom_site_type_symbol
_atom_site_fract_x
_atom_site_fract_y
_atom_site_fract_z
Na1 Na 0.0000 0.0000 0.0000
Dy1 Dy 0.0000 0.0000 0.6299
Ho1 Ho 0.0000 0.0000 0.2504
Ho2 Ho 0.1727 0.3453 0.4572
S1 S 0.0000 0.0000 0.3834
S2 S 0.0000 0.0000 0.8641
S3 S 0.0292 0.5146 0.3795
S4 S 0.1770 0.3541 0.2057
# E_form (uncorrected) (eV per atom): -1.9605
# Crystal system: trigonal
# Uncorrected energy (eV per cell): -254.10
# N(E_F) (states/eV per atom): 0.000


# 6
# PBE-GGA CaMgC2O6, relaxed
data_CaMgC2O6
_chemical_formula_sum 'Ca3 Mg3 C6 O18'
_space_group_name_H-M_alt 'R -3'
_space_group_IT_number 148
_space_group_name_Hall '-R 3'
_cell_length_a 4.8638
_cell_length_b 4.8638
_cell_length_c 16.1935
_cell_angle_alpha 90.00
_cell_angle_beta 90.00
_cell_angle_gamma 120.00
loop_
_atom_site_label
_atom_site_type_symbol
_atom_site_fract_x
_atom_site_fract_y
_atom_site_fract_z
Ca1 Ca 0.0000 0.0000 0.0000
Mg1 Mg 0.0000 0.0000 0.5000
C1 C 0.0000 0.0000 0.2427
O1 O 0.0329 0.2818 0.2438
# E_form (uncorrected) (eV per atom): -2.1521
# Crystal system: trigonal
# Uncorrected energy (eV per cell): -219.94
# N(E_F) (states/eV per atom): 0.000